1.
# ZrAlW (PBE, relaxed)
# - Distance to the lowest polymorph of the same formula: 250 meV/atom
# - Energy of formation: -36 meV/atom
data_ZrAlW
_symmetry_space_group_name_H-M 'P 1'
_symmetry_Int_Tables_number 1
_cell_length_a 2.8702
_cell_length_b 5.2612
_cell_length_c 7.3120
_cell_angle_alpha 91.77
_cell_angle_beta 99.16
_cell_angle_gamma 96.26
loop_
_symmetry_equiv_pos_as_xyz
'x,y,z'
loop_
_atom_site_label
_atom_site_fract_x
_atom_site_fract_y
_atom_site_fract_z
Zr1 0.0000 0.0000 0.0000
Zr2 0.0875 0.4071 0.3230
Al1 0.5858 0.9031 0.3489
Al2 0.6733 0.2348 0.6645
W1 0.1031 0.7380 0.6555
W2 0.4510 0.5155 0.9549

***

2.
# ZrAlW2 (PBE, relaxed)
# - Energy of formation: 19 meV/atom
data_ZrAlW2
_symmetry_space_group_name_H-M 'I m m 2'
_symmetry_Int_Tables_number 44
_cell_length_a 3.3634
_cell_length_b 4.6015
_cell_length_c 9.1294
_cell_angle_alpha 90.00
_cell_angle_beta 90.00
_cell_angle_gamma 90.00
loop_
_symmetry_equiv_pos_as_xyz
'x,y,z'
'-x,-y,z'
'-x,y,z'
'x,-y,z'
'x+1/2,y+1/2,z+1/2'
'-x+1/2,-y+1/2,z+1/2'
'-x+1/2,y+1/2,z+1/2'
'x+1/2,-y+1/2,z+1/2'
loop_
_atom_site_label
_atom_site_fract_x
_atom_site_fract_y
_atom_site_fract_z
Zr1 0.0000 0.0000 0.0000
Al1 0.0000 0.5000 0.7722
W1 0.0000 0.0000 0.5244
W2 0.0000 0.5000 0.2407

***

3.
# ZrAlW (PBE, relaxed)
# - Distance to the lowest polymorph of the same formula: 270 meV/atom
# - Energy of formation: -16 meV/atom
data_ZrAlW
_symmetry_space_group_name_H-M 'F m m 2'
_symmetry_Int_Tables_number 42
_symmetry_space_group_name_Hall 'F 2 -2'
_cell_length_a 3.4633
_cell_length_b 4.5365
_cell_length_c 13.6766
_cell_angle_alpha 90.00
_cell_angle_beta 90.00
_cell_angle_gamma 90.00
loop_
_atom_site_label
_atom_site_fract_x
_atom_site_fract_y
_atom_site_fract_z
Zr1 0.0000 0.0000 0.0000
Al1 0.0000 0.0000 0.3230
W1 0.0000 0.0000 0.6733